The following is a GGA-PBE calculation of a relaxed BaOsW2 crystal, from Alexandria via LeMat-Bulk.

Cell: 3.020 5.442 10.100 Å, 90.00 90.00 90.00°
Space group Imm2 (No. 44)
One atom of each set of equivalent atoms:
Ba  0.000  0.000  0.000 (multiplicity 2)
Os  0.000  0.500  0.785 (multiplicity 2)
W  0.000  0.000  0.490 (multiplicity 2)
W  0.000  0.500  0.208 (multiplicity 2)

Output
The calculation puts the formation enthalpy at 0 K at 1.325 eV per atom. The calculation puts the relative energy among the computed polymorphs at 2.13 eV/f.u. The calculation puts the electronic total energy at -8.440 eV/atom. Its total magnetic moment is 0.00 μB per formula unit. The crystal system is orthorhombic.